Compound: Re3WI
Source: Alexandria via LeMat-Bulk
Functional: GGA-PBE
Structure: optimized geometry

## Properties
- ΔE to the lowest computed polymorph: 0.000 eV per atom
- Space-group type: Pm-3m (221)
- Density: 12.89 g/cm³
- Magnetization: 1.46 μB per cell

a = 4.820 Å, b = 4.820 Å, c = 4.820 Å
α = 90.00°, β = 90.00°, γ = 90.00°
Site moments in Bohr magnetons follow the coordinates.
Sites, in units of the cell vectors:
I 0.500 0.500 0.500  0.01
Re 0.000 0.500 0.000  0.46
Re 0.000 0.000 0.500  0.45
Re 0.500 0.000 0.000  0.43
W 0.000 0.000 0.000  -0.10


Compound: ReWI2
Source: Alexandria via LeMat-Bulk
Functional: GGA-PBE
Structure: optimized geometry

## Properties
- ΔE to the lowest computed polymorph: 0.226 eV per atom
- Space-group type: I-42d (122)
- Density: 9.63 g/cm³
- Magnetization: 0.00 μB per cell

a = 6.008 Å, b = 6.008 Å, c = 7.321 Å
α = 65.77°, β = 65.77°, γ = 90.00°
Sites, in units of the cell vectors:
I 0.629 0.125 0.250
I 0.121 0.625 0.250
I 0.375 0.371 0.750
I 0.875 0.879 0.750
Re 0.000 0.000 0.000
Re 0.750 0.250 0.500
W 0.500 0.500 0.000
W 0.250 0.750 0.500


Compound: Re2WI
Source: Alexandria via LeMat-Bulk
Functional: GGA-PBE
Structure: optimized geometry

## Properties
- ΔE to the lowest computed polymorph: 0.000 eV per atom
- Space-group type: Fm-3m (225)
- Density: 16.67 g/cm³
- Magnetization: 0.00 μB per cell

a = 4.583 Å, b = 4.583 Å, c = 4.583 Å
α = 60.00°, β = 60.00°, γ = 60.00°
Sites, in units of the cell vectors:
I 0.000 0.000 0.000
Re 0.250 0.250 0.250
Re 0.750 0.750 0.750
W 0.500 0.500 0.500


Compound: Re2WI
Source: Alexandria via LeMat-Bulk
Functional: GGA-PBE
Structure: optimized geometry

## Properties
- ΔE to the lowest computed polymorph: 0.438 eV per atom
- Space-group type: I-42d (122)
- Density: 11.34 g/cm³
- Magnetization: 0.00 μB per cell

a = 5.829 Å, b = 5.829 Å, c = 7.187 Å
α = 66.08°, β = 66.08°, γ = 90.00°
Sites, in units of the cell vectors:
I 0.500 0.500 0.000
I 0.250 0.750 0.500
Re 0.645 0.125 0.250
Re 0.105 0.625 0.250
Re 0.375 0.355 0.750
Re 0.875 0.895 0.750
W 0.000 0.000 0.000
W 0.750 0.250 0.500


Compound: ZnRe2WI
Source: Alexandria via LeMat-Bulk
Functional: GGA-PBE
Structure: optimized geometry

## Properties
- Space-group type: P4/mmm (123)
- Density: 10.85 g/cm³
- Magnetization: 0.00 μB per cell
- Total DFT energy (no corrections): -6.160 eV per atom

a = 4.819 Å, b = 4.933 Å, c = 4.819 Å
α = 90.00°, β = 90.00°, γ = 90.00°
Sites, in units of the cell vectors:
I 0.500 0.500 0.500
Re 0.000 0.000 0.500
Re 0.500 0.000 0.000
Zn 0.000 0.500 0.000
W 0.000 0.000 0.000


Compound: YReI2
Source: Alexandria via LeMat-Bulk
Functional: GGA-PBE
Structure: optimized geometry

## Properties
- ΔE to the lowest computed polymorph: 0.030 eV per atom
- Space-group type: Fm-3m (225)
- Density: 8.76 g/cm³
- Magnetization: 3.26 μB per cell

a = 5.215 Å, b = 5.215 Å, c = 5.215 Å
α = 60.00°, β = 60.00°, γ = 60.00°
Site moments in Bohr magnetons follow the coordinates.
Sites, in units of the cell vectors:
I 0.250 0.250 0.250  0.10
I 0.750 0.750 0.750  0.10
Re 0.500 0.500 0.500  2.41
Y 0.000 0.000 0.000  0.07


Compound: Y3ReI
Source: Alexandria via LeMat-Bulk
Functional: GGA-PBE
Structure: optimized geometry

## Properties
- Space-group type: Pm-3m (221)
- Density: 5.84 g/cm³
- Magnetization: 0.00 μB per cell
- Total DFT energy (no corrections): -6.536 eV per atom

a = 5.484 Å, b = 5.484 Å, c = 5.484 Å
α = 90.00°, β = 90.00°, γ = 90.00°
Sites, in units of the cell vectors:
I 0.500 0.500 0.500
Re 0.000 0.000 0.000
Y 0.000 0.500 0.000
Y 0.000 0.000 0.500
Y 0.500 0.000 0.000


Compound: YReI2
Source: Alexandria via LeMat-Bulk
Functional: GGA-PBE
Structure: optimized geometry

## Properties
- ΔE to the lowest computed polymorph: 0.000 eV per atom
- Space-group type: I-42d (122)
- Density: 7.84 g/cm³
- Magnetization: 0.00 μB per cell

a = 5.005 Å, b = 5.005 Å, c = 9.621 Å
α = 74.92°, β = 74.92°, γ = 90.00°
Sites, in units of the cell vectors:
I 0.658 0.125 0.250
I 0.092 0.625 0.250
I 0.375 0.342 0.750
I 0.875 0.908 0.750
Re 0.000 0.000 0.000
Re 0.750 0.250 0.500
Y 0.500 0.500 0.000
Y 0.250 0.750 0.500